# CeInBi3, relaxed, DFT PBE
# Uncorrected energy = -4.35 eV/atom
# Formation enthalpy at 0 K = -291 meV/atom
data_CeInBi3
_chemical_formula_sum 'Ce1 In1 Bi3'
_cell_length_a 4.403
_cell_length_b 6.116
_cell_length_c 6.440
_cell_angle_alpha 78.70
_cell_angle_beta 70.10
_cell_angle_gamma 69.08
_space_group_name_H-M_alt 'P 1'
_space_group_IT_number 1
loop_
_space_group_symop_operation_xyz
'x,y,z'
loop_
_atom_site_label
_atom_site_fract_x
_atom_site_fract_y
_atom_site_fract_z
_atom_site_occupancy
Ce1 0.000 0.000 0.000 1
In1 0.400 0.789 0.410 1
Bi1 0.206 0.410 0.178 1
Bi2 0.643 0.153 0.562 1
Bi3 0.795 0.587 0.822 1